Record 1
# Hf3Mg PBE relaxed
data_Hf3Mg
_chemical_formula_sum 'Hf3 Mg1'
_space_group_name_H-M_alt 'P m m 2'
_space_group_IT_number 25
_cell_length_a 3.110
_cell_length_b 5.158
_cell_length_c 5.527
_cell_angle_alpha 90.00
_cell_angle_beta 90.00
_cell_angle_gamma 90.00
loop_
_space_group_symop_operation_xyz
'x,y,z'
'-x,-y,z'
'-x,y,z'
'x,-y,z'
loop_
_atom_site_label
_atom_site_type_symbol
_atom_site_fract_x
_atom_site_fract_y
_atom_site_fract_z
_atom_site_occupancy
Hf1 Hf 0.000 0.000 0.000 1
Hf2 Hf 0.000 0.500 0.335 1
Hf3 Hf 0.500 0.000 0.490 1
Mg1 Mg 0.500 0.500 0.824 1
# Fermi-level density of states: 4.15 states/eV/f.u.
# total magnetic moment: 0.00 μB/cell
# volume: 22.2 Å³/atom
# calculated total energy: -7.757 eV/atom


Record 2
# Hf3Mg PBE relaxed
data_Hf3Mg
_chemical_formula_sum 'Hf6 Mg2'
_space_group_name_H-M_alt 'I m m 2'
_space_group_IT_number 44
_cell_length_a 3.129
_cell_length_b 10.175
_cell_length_c 5.539
_cell_angle_alpha 90.00
_cell_angle_beta 90.00
_cell_angle_gamma 90.00
loop_
_space_group_symop_operation_xyz
'x,y,z'
'-x,-y,z'
'-x,y,z'
'x,-y,z'
'x+1/2,y+1/2,z+1/2'
'-x+1/2,-y+1/2,z+1/2'
'-x+1/2,y+1/2,z+1/2'
'x+1/2,-y+1/2,z+1/2'
loop_
_atom_site_label
_atom_site_type_symbol
_atom_site_fract_x
_atom_site_fract_y
_atom_site_fract_z
_atom_site_occupancy
Hf1 Hf 0.000 0.000 0.000 1
Hf2 Hf 0.000 0.248 0.654 1
Mg1 Mg 0.000 0.500 0.982 1
# Fermi-level density of states: 4.02 states/eV/f.u.
# total magnetic moment: 0.00 μB/cell
# volume: 22.0 Å³/atom
# calculated total energy: -7.776 eV/atom


Record 3
# HfMg7 PBE relaxed
data_HfMg7
_chemical_formula_sum 'Hf1 Mg7'
_space_group_name_H-M_alt 'P -6 m 2'
_space_group_IT_number 187
_space_group_name_Hall 'P -6 2'
_cell_length_a 6.4248
_cell_length_b 6.4248
_cell_length_c 5.0435
_cell_angle_alpha 90.00
_cell_angle_beta 90.00
_cell_angle_gamma 120.00
loop_
_atom_site_label
_atom_site_type_symbol
_atom_site_fract_x
_atom_site_fract_y
_atom_site_fract_z
_atom_site_occupancy
Hf1 Hf 0.0000 0.0000 0.0000 1
Mg1 Mg 0.0042 0.5021 0.0000 1
Mg2 Mg 0.1625 0.3250 0.5000 1
Mg3 Mg 0.6667 0.3333 0.5000 1
# Fermi-level density of states: 6.18 states/eV/f.u.
# total magnetic moment: 0.00 μB/cell
# volume: 22.5 Å³/atom
# calculated total energy: -2.544 eV/atom